[1]
AsPtBr | PBEsol | relaxed

Output
Formation energy (no corrections), eV/atom: -0.25

Unit cell a=3.5996 b=3.5996 c=6.0919 alpha=90.00 beta=90.00 gamma=120.00
Closest atoms and distances in Å follow each position.
Sites, in units of the cell vectors:
As 0.0000 0.0000 0.0000  3 Pt 2.46
Pt 0.6667 0.3333 0.2174  3 As 2.46, 3 Br 2.67
Br 0.3333 0.6667 0.4935  3 Pt 2.67


[2]
CaCd2Rh | PBEsol | relaxed

Output
Energy of formation from the pure elements, eV/atom: -0.160
Fermi-level density of states, states/eV/atom: 0.595

Unit cell a=4.7932 b=4.7932 c=4.7932 alpha=60.00 beta=60.00 gamma=60.00
Closest atoms and distances in Å follow each position.
Sites, in units of the cell vectors:
Ca 0.0000 0.0000 0.0000  4 Cd 2.94, 4 Rh 2.94
Cd 0.2500 0.2500 0.2500  4 Cd 2.94, 4 Ca 2.94
Cd 0.5000 0.5000 0.5000  4 Cd 2.94, 4 Rh 2.94
Rh 0.7500 0.7500 0.7500  4 Ca 2.94, 4 Cd 2.94


[3]
ScTaNF2 | PBEsol | relaxed

Output
Formation energy (no corrections), eV/atom: -1.13
Fermi-level density of states, states/eV/atom: 0.509

Unit cell a=3.7778 b=3.7778 c=4.7531 alpha=90.00 beta=90.00 gamma=90.00
Closest atoms and distances in Å follow each position.
Sites, in units of the cell vectors:
Sc 0.0000 0.0000 0.0000  4 F 1.89
Ta 0.5000 0.5000 0.5000  4 N 2.67
N 0.0000 0.0000 0.5000  2 Sc 2.38
F 0.0000 0.5000 0.0000  2 Sc 1.89
F 0.5000 0.0000 0.0000  2 Sc 1.89


[4]
Ba2SbPb | PBEsol | relaxed

Output
Formation energy (no corrections), eV/atom: -0.74
Fermi-level density of states, states/eV/atom: 0.915

Unit cell a=4.6467 b=6.8648 c=6.8648 alpha=44.79 beta=90.00 gamma=90.00
Closest atoms and distances in Å follow each position.
Sites, in units of the cell vectors:
Ba 0.0000 0.0000 0.0000  4 Pb 3.57, 3 Sb 3.58-3.80
Ba 0.5000 0.2727 0.2727  4 Sb 3.57, 3 Pb 3.59-3.80
Sb 0.0000 0.7177 0.7177  2 Pb 3.10
Pb 0.5000 0.5558 0.5558  2 Sb 3.10


[5]
CaAl2Ir | PBEsol | relaxed

Output
Energy of formation from the pure elements, eV/atom: -0.591
Fermi-level density of states, states/eV/atom: 0.476

Unit cell a=5.8139 b=5.8139 c=5.8139 alpha=43.27 beta=43.27 gamma=43.27
Closest atoms and distances in Å follow each position.
Sites, in units of the cell vectors:
Ca 0.0000 0.0000 0.0000  1 Ir 2.92, 4 Al 3.06-3.23
Al 0.1941 0.1941 0.1941  3 Ir 2.58, 3 Al 2.67
Al 0.4647 0.4647 0.4647  3 Ir 2.49, 3 Al 2.67
Ir 0.8147 0.8147 0.8147  6 Al 2.49-2.58


[6]
KCoCl | PBEsol | relaxed

Output
Formation energy (no corrections), eV/atom: 0.51
Fermi-level density of states, states/eV/atom: 1.831

Unit cell a=4.7807 b=4.7807 c=4.7807 alpha=60.00 beta=60.00 gamma=60.00
Closest atoms and distances in Å follow each position.
Sites, in units of the cell vectors:
K 0.0000 0.0000 0.0000  4 Cl 2.93
Co 0.5000 0.5000 0.5000  4 Cl 2.93
Cl 0.7500 0.7500 0.7500  4 Co 2.93, 4 K 2.93


[7]
MnCr2InH | PBEsol | relaxed

Output
Fermi-level density of states, states/eV/atom: 0.655
DFT total energy, eV per atom: -5.68

Unit cell a=5.2702 b=5.2702 c=3.4965 alpha=90.00 beta=90.00 gamma=90.00
Closest atoms and distances in Å follow each position.
Sites, in units of the cell vectors:
Mn 0.0000 0.0000 0.0000  8 Cr 3.16, 2 Mn 3.50
Cr 0.0000 0.5000 0.5000  2 In 2.64
Cr 0.5000 0.0000 0.5000  2 In 2.64
In 0.5000 0.5000 0.5000  2 H 1.75
H 0.5000 0.5000 0.0000  2 In 1.75


[8]
CaTc2Sn2 | PBEsol | relaxed

Output
Energy of formation from the pure elements, eV/atom: 0.004
Fermi-level density of states, states/eV/atom: 0.833

Unit cell a=5.8944 b=5.8944 c=5.8944 alpha=132.64 beta=132.64 gamma=69.22
Closest atoms and distances in Å follow each position.
Sites, in units of the cell vectors:
Ca 0.0000 0.0000 0.0000  8 Sn 3.39, 10 Tc 3.52-3.77
Tc 0.3886 0.3886 0.0000  1 Tc 2.16
Tc 0.6114 0.6114 0.0000  1 Tc 2.16
Sn 0.2500 0.7500 0.5000  4 Tc 2.72
Sn 0.7500 0.2500 0.5000  4 Tc 2.72


[9]
Gd2Mn17C3 | PBEsol | relaxed

Output
Energy of formation from the pure elements, eV/atom: -0.090
Fermi-level density of states, states/eV/atom: 1.003

Unit cell a=6.3248 b=6.3248 c=6.3248 alpha=83.44 beta=83.44 gamma=83.44
Closest atoms and distances in Å follow each position.
Sites, in units of the cell vectors:
Gd 0.1492 0.1492 0.1492  3 C 2.44
Gd 0.8508 0.8508 0.8508  3 C 2.44
Mn 0.0000 0.5000 0.5000  10 Mn 2.37-2.58
Mn 0.1583 0.1583 0.6353  1 C 1.83
Mn 0.1583 0.6353 0.1583  1 C 1.83
Mn 0.2244 0.5000 0.7756  1 C 1.89
Mn 0.2244 0.7756 0.5000  1 C 1.89
Mn 0.3647 0.8417 0.8417  1 C 1.83
Mn 0.4046 0.4046 0.4046  13 Mn 2.32-2.59
Mn 0.5000 0.0000 0.5000  10 Mn 2.37-2.58
Mn 0.5000 0.2244 0.7756  1 C 1.89
Mn 0.5000 0.5000 0.0000  10 Mn 2.37-2.58
Mn 0.5000 0.7756 0.2244  1 C 1.89
Mn 0.5954 0.5954 0.5954  13 Mn 2.32-2.59
Mn 0.6353 0.1583 0.1583  1 C 1.83
Mn 0.7756 0.2244 0.5000  1 C 1.89
Mn 0.7756 0.5000 0.2244  1 C 1.89
Mn 0.8417 0.3647 0.8417  1 C 1.83
Mn 0.8417 0.8417 0.3647  1 C 1.83
C 0.0000 0.0000 0.5000  4 Mn 1.83-1.89
C 0.0000 0.5000 0.0000  4 Mn 1.83-1.89
C 0.5000 0.0000 0.0000  4 Mn 1.83-1.89


[10]
LiLa5Ti8O24 | PBEsol | relaxed

Output
Formation energy (no corrections), eV/atom: -3.25
Fermi-level density of states, states/eV/atom: 0.000

Unit cell a=7.6754 b=7.7487 c=7.7426 alpha=90.00 beta=90.00 gamma=90.00
Closest atoms and distances in Å follow each position.
Sites, in units of the cell vectors:
Li 0.0000 0.0000 0.0000  2 O 1.95
La 0.0000 0.5000 0.3705  8 O 2.50-2.61
La 0.0000 0.5000 0.8783  10 O 2.49-2.75
La 0.5000 0.0000 0.8514  6 O 2.48-2.58
La 0.5000 0.5000 0.3734  8 O 2.47-2.65
La 0.5000 0.5000 0.8590  10 O 2.51-2.76
Ti 0.2450 0.2383 0.6153  6 O 1.87-2.05
Ti 0.2450 0.7617 0.6153  6 O 1.87-2.05
Ti 0.2495 0.2410 0.1244  6 O 1.90-2.03
Ti 0.2495 0.7590 0.1244  6 O 1.90-2.03
Ti 0.7505 0.2410 0.1244  6 O 1.90-2.03
Ti 0.7505 0.7590 0.1244  6 O 1.90-2.03
Ti 0.7550 0.2383 0.6153  6 O 1.87-2.05
Ti 0.7550 0.7617 0.6153  6 O 1.87-2.05
O 0.0000 0.2287 0.1063  2 Ti 1.92, 1 Li 1.95
O 0.0000 0.3006 0.6243  2 Ti 1.94
O 0.0000 0.6994 0.6243  2 Ti 1.94
O 0.0000 0.7713 0.1063  2 Ti 1.92, 1 Li 1.95
O 0.2099 0.5000 0.1241  2 Ti 2.03
O 0.2327 0.0000 0.6499  2 Ti 1.87
O 0.2465 0.2680 0.3694  2 Ti 1.91-1.92
O 0.2465 0.7320 0.3694  2 Ti 1.91-1.92
O 0.2611 0.2743 0.8695  2 Ti 1.99
O 0.2611 0.7257 0.8695  2 Ti 1.99
O 0.2779 0.0000 0.0883  2 Ti 1.90
O 0.2876 0.5000 0.6122  2 Ti 2.05
O 0.5000 0.2291 0.6276  2 Ti 1.96
O 0.5000 0.2940 0.1201  2 Ti 1.97
O 0.5000 0.7060 0.1201  2 Ti 1.97
O 0.5000 0.7709 0.6276  2 Ti 1.96
O 0.7124 0.5000 0.6122  2 Ti 2.05
O 0.7221 0.0000 0.0883  2 Ti 1.90
O 0.7389 0.2743 0.8695  2 Ti 1.99
O 0.7389 0.7257 0.8695  2 Ti 1.99
O 0.7535 0.2680 0.3694  2 Ti 1.91-1.92
O 0.7535 0.7320 0.3694  2 Ti 1.91-1.92
O 0.7673 0.0000 0.6499  2 Ti 1.87
O 0.7901 0.5000 0.1241  2 Ti 2.03


[11]
Cr3GeB | PBEsol | relaxed

Output
Energy of formation from the pure elements, eV/atom: 0.196
Fermi-level density of states, states/eV/atom: 0.975

Unit cell a=3.8512 b=3.8512 c=3.8512 alpha=90.00 beta=90.00 gamma=90.00
Closest atoms and distances in Å follow each position.
Sites, in units of the cell vectors:
Cr 0.0000 0.0000 0.5000  2 B 1.93
Cr 0.0000 0.5000 0.0000  2 B 1.93
Cr 0.5000 0.0000 0.0000  2 B 1.93
Ge 0.5000 0.5000 0.5000  12 Cr 2.72
B 0.0000 0.0000 0.0000  6 Cr 1.93


[12]
Mg2Al2Si | PBEsol | relaxed

Output
Formation energy (no corrections), eV/atom: 0.25
Fermi-level density of states, states/eV/atom: 0.413

Unit cell a=7.9514 b=7.9514 c=3.0020 alpha=90.00 beta=90.00 gamma=90.00
Closest atoms and distances in Å follow each position.
Sites, in units of the cell vectors:
Mg 0.1822 0.3178 0.0000  6 Al 2.71-2.86, 2 Mg 3.00
Mg 0.3178 0.8178 0.0000  6 Al 2.71-2.86, 2 Mg 3.00
Mg 0.6822 0.1822 0.0000  6 Al 2.71-2.86, 2 Mg 3.00
Mg 0.8178 0.6822 0.0000  6 Al 2.71-2.86, 2 Mg 3.00
Al 0.1172 0.6172 0.5000  1 Al 2.64, 6 Mg 2.71-2.86
Al 0.3828 0.1172 0.5000  1 Al 2.64, 6 Mg 2.71-2.86
Al 0.6172 0.8828 0.5000  1 Al 2.64, 6 Mg 2.71-2.86
Al 0.8828 0.3828 0.5000  1 Al 2.64, 6 Mg 2.71-2.86
Si 0.0000 0.0000 0.5000  2 Si 3.00, 4 Al 3.18, 8 Mg 3.28
Si 0.5000 0.5000 0.5000  2 Si 3.00, 4 Al 3.18, 8 Mg 3.28


[13]
AgS2I | PBEsol | relaxed

Output
Formation energy (no corrections), eV/atom: 0.14
Fermi-level density of states, states/eV/atom: 0.782

Unit cell a=7.9072 b=7.9072 c=7.9072 alpha=28.21 beta=28.21 gamma=28.21
Closest atoms and distances in Å follow each position.
Sites, in units of the cell vectors:
Ag 0.0000 0.0000 0.0000  6 S 2.54
S 0.3872 0.3872 0.3872  3 Ag 2.54, 1 I 2.57
S 0.6128 0.6128 0.6128  3 Ag 2.54, 1 I 2.57
I 0.5000 0.5000 0.5000  2 S 2.57